1.
First-principles (PBE-GGA) data for CeTi2 after structural relaxation, as listed in Alexandria.

Unit cell a=3.5767 b=3.5767 c=9.7119 alpha=90.00 beta=90.00 gamma=90.00
Last column: nearest neighbours and their distance in Å.
Space group I4/mmm (No. 139)
One atom of each set of equivalent atoms:
Ce: 0.0000 0.0000 0.0000  10 Ti 3.03-3.12
Ti: 0.0000 0.0000 0.3120  4 Ti 2.80, 5 Ce 3.03-3.12

Calculated values
Crystal system: tetragonal
Total energy in eV/cell: -42.23

---

2.
First-principles (PBE-GGA) data for CeTi3 after structural relaxation, as listed in Alexandria.

Unit cell a=2.9118 b=4.8601 c=5.5216 alpha=90.00 beta=90.00 gamma=90.00
Last column: nearest neighbours and their distance in Å.
Space group Pmm2 (No. 25)
One atom of each set of equivalent atoms:
Ce: 0.0000 0.0000 0.0000  2 Ce 2.91, 10 Ti 2.92-3.18
Ti: 0.0000 0.5000 0.7072  8 Ti 2.86-3.04, 2 Ce 2.92
Ti: 0.5000 0.0000 0.5057  8 Ti 2.78-3.04, 2 Ce 3.09
Ti: 0.5000 0.5000 0.2614  6 Ti 2.78-2.91

Calculated values
Crystal system: orthorhombic
Total energy in eV/cell: -28.98

---

3.
First-principles (PBE-GGA) data for CeTi4 after structural relaxation, as listed in Alexandria.

Unit cell a=4.6787 b=4.6787 c=4.6787 alpha=90.00 beta=90.00 gamma=90.00
Last column: nearest neighbours and their distance in Å.
Space group Pm-3m (No. 221)
One atom of each set of equivalent atoms:
Ce: 0.0000 0.0000 0.0000  6 Ti 2.34
Ti: 0.0000 0.0000 0.5000  2 Ce 2.34
Ti: 0.5000 0.5000 0.5000  12 Ti 3.31

Calculated values
Crystal system: cubic
Total energy in eV/cell: -33.04

---

4.
First-principles (PBE-GGA) data for CeTi3 after structural relaxation, as listed in Alexandria.

Unit cell a=4.2725 b=4.2725 c=4.2725 alpha=90.00 beta=90.00 gamma=90.00
Last column: nearest neighbours and their distance in Å.
Space group Pm-3m (No. 221)
One atom of each set of equivalent atoms:
Ce: 0.0000 0.0000 0.0000  12 Ti 3.02
Ti: 0.0000 0.5000 0.5000  4 Ce 3.02, 8 Ti 3.02

Calculated values
Crystal system: cubic
Total energy in eV/cell: -28.83

---

no.,energy of formation from the pure elements (eV per formula unit)
1,0.61
2,0.64
3,4.48
4,0.79